## LaMgSi2 (GGA-PBE)

Data for a relaxed structure of LaMgSi2.

Cell and atoms, written as POSCAR:
```
LaMgSi2
1.0
4.357 -1.955 0.000
4.357 1.955 0.000
-1.946 0.000 5.258
La Mg Si
1 1 2
Direct
0.000 0.000 0.000
0.500 0.500 0.500
0.239 0.239 0.640
0.761 0.761 0.360
```

Values from the calculation:
The density of states at the Fermi level comes out at 0.459 states/eV/atom. The symmetry is C2/m (12). For the uncorrected energy, the calculation gives -4.733 eV/atom. As for the total moment: 0.000 μB/f.u.

## LaSmMgSi (GGA-PBE)

Data for a relaxed structure of LaSmMgSi.

Cell and atoms, written as POSCAR:
```
LaSmMgSi
1.0
0.000 3.727 3.727
3.727 0.000 3.727
3.727 3.727 0.000
La Sm Mg Si
1 1 1 1
Direct
0.000 0.000 0.000
0.500 0.500 0.500
0.750 0.750 0.750
0.250 0.250 0.250
```

Values from the calculation:
The density of states at the Fermi level comes out at 0.801 states/eV/atom. The symmetry is F-43m (216). For the uncorrected energy, the calculation gives -4.459 eV/atom. As for the total moment: 0.000 μB/f.u.